[1]
Below is an optimized crystal structure of ScReSeBr2, with properties calculated at the PBE level.

Cell and atoms, written as POSCAR:
```
ScReSeBr2
1.0
5.2360 0.0000 0.0000
0.0000 5.2360 0.0000
0.0000 0.0000 4.7184
Re Br Sc Se
1 2 1 1
direct
0.0000 0.0000 0.0000 Re
0.5000 0.0000 0.0000 Br
0.0000 0.5000 0.0000 Br
0.5000 0.5000 0.5000 Sc
0.0000 0.0000 0.5000 Se
```

Computed properties:
**Formation energy from raw total energies**: 0.381 eV per atom
**E above lowest polymorph**: 0.534 eV per formula unit


[2]
Below is an optimized crystal structure of TbNdAlPd, with properties calculated at the PBE level.

Cell and atoms, written as POSCAR:
```
TbNdAlPd
1.0
-0.6677 3.5978 1.3658
1.3375 -1.2719 4.0043
5.7409 -0.2916 -2.0102
Al Nd Pd Tb
1 1 1 1
direct
0.4353 0.0000 0.8706 Al
0.8486 0.5000 0.6972 Nd
0.5733 0.5000 0.1465 Pd
0.1428 0.0000 0.2856 Tb
```

Computed properties:
**E above lowest polymorph**: 0.000 eV per formula unit
**Formation energy from the elements**: -573.9 meV per atom


[3]
Below is an optimized crystal structure of RbBe2Zn, with properties calculated at the PBE level.

Cell and atoms, written as POSCAR:
```
RbBe2Zn
1.0
4.7435 0.0000 0.0000
0.0000 4.7435 0.0000
2.3718 2.3718 8.3662
Be Rb Zn
4 2 2
direct
0.3750 0.6250 0.2500 Be
0.8750 0.6250 0.7500 Be
0.3750 0.6250 0.7500 Be
0.3750 0.1250 0.2500 Be
0.7500 0.2500 0.5000 Rb
0.0000 0.0000 0.0000 Rb
0.2500 0.7500 0.5000 Zn
0.5000 0.5000 0.0000 Zn
```

Computed properties:
**Formation energy from the elements**: 729.7 meV per atom


[4]
Below is an optimized crystal structure of Ba2AcPt, with properties calculated at the PBE level.

Cell and atoms, written as POSCAR:
```
Ba2AcPt
1.0
4.2709 0.0000 0.0000
2.1355 3.6987 0.0000
2.1355 1.2329 11.9598
Pt Ba Ac
1 2 1
direct
0.5000 0.5000 0.5000 Pt
0.1143 0.1143 0.6572 Ba
0.8857 0.8857 0.3428 Ba
0.0000 0.0000 0.0000 Ac
```

Computed properties:
**E above lowest polymorph**: 1.510 eV per formula unit
**Formation energy from the elements**: -213.3 meV per atom


[5]
Below is an optimized crystal structure of CaDy2Pd, with properties calculated at the PBE level.

Cell and atoms, written as POSCAR:
```
CaDy2Pd
1.0
4.0785 0.0000 0.0000
2.0393 3.5321 0.0000
2.0393 1.1774 9.1854
Ca Dy Pd
1 2 1
direct
0.5010 0.5010 0.4969 Ca
0.2781 0.2781 0.1656 Dy
0.0547 0.0547 0.8360 Dy
0.6662 0.6662 0.0015 Pd
```

Computed properties:
**E above lowest polymorph**: 0.244 eV per formula unit
**Formation energy from the elements**: -306.5 meV per atom


[6]
Below is an optimized crystal structure of Sr2ErCd12Au3, with properties calculated at the PBE level.

Cell and atoms, written as POSCAR:
```
Sr2ErCd12Au3
1.0
-8.5033 4.1382 -2.8866
-9.1797 -3.6537 0.3836
-7.6862 2.9625 5.4689
Cd Au Sr Er
12 3 2 1
direct
0.1478 0.7714 0.7714 Cd
0.2286 0.8522 0.2286 Cd
0.7714 0.1478 0.7714 Cd
0.1597 0.1597 0.5202 Cd
0.5202 0.1597 0.1597 Cd
0.8403 0.8403 0.4798 Cd
0.4798 0.8403 0.8403 Cd
0.7714 0.7714 0.1478 Cd
0.2286 0.2286 0.8522 Cd
0.1597 0.5202 0.1597 Cd
0.8522 0.2286 0.2286 Cd
0.8403 0.4798 0.8403 Cd
0.0000 0.5000 0.0000 Au
0.0000 0.0000 0.5000 Au
0.5000 0.0000 0.0000 Au
0.3916 0.3916 0.3916 Sr
0.6084 0.6084 0.6084 Sr
0.0000 0.0000 0.0000 Er
```

Computed properties:
**Formation energy from the elements**: -8.9 meV per atom


[7]
Below is an optimized crystal structure of CdHg5Pb7, with properties calculated at the PBE level.

Cell and atoms, written as POSCAR:
```
CdHg5Pb7
1.0
-3.9402 3.3996 -1.8172
-7.9042 -4.1188 0.4658
-4.2411 3.6033 6.9733
Hg Pb Cd
5 7 1
direct
0.3442 0.6047 0.9890 Hg
0.9388 0.9915 0.4178 Hg
0.7992 0.7836 0.7836 Hg
0.3435 0.9889 0.6051 Hg
0.9395 0.4177 0.9913 Hg
0.5526 0.1608 0.8281 Pb
0.4071 0.6223 0.6223 Pb
0.6793 0.3632 0.3630 Pb
0.0336 0.6511 0.3448 Pb
0.3557 0.2181 0.2183 Pb
0.0336 0.3449 0.6509 Pb
0.5525 0.8282 0.1608 Pb
0.0202 0.0249 0.0248 Cd
```

Computed properties:
**Formation energy from the elements**: 59.1 meV per atom


[8]
Below is an optimized crystal structure of Sc2P2Br, with properties calculated at the PBE level.

Cell and atoms, written as POSCAR:
```
Sc2P2Br
1.0
7.2904 0.0000 0.0000
0.0000 7.2904 0.0000
0.0000 0.0000 3.6275
P Br Sc
4 2 4
direct
0.8877 0.3877 0.5000 P
0.3877 0.1123 0.5000 P
0.1123 0.6123 0.5000 P
0.6123 0.8877 0.5000 P
0.0000 0.0000 0.0000 Br
0.5000 0.5000 0.0000 Br
0.1656 0.3344 0.0000 Sc
0.8344 0.6656 0.0000 Sc
0.3344 0.8344 0.0000 Sc
0.6656 0.1656 0.0000 Sc
```

Computed properties:
**Formation energy from raw total energies**: -1.086 eV per atom
**E above lowest polymorph**: 0.000 eV per formula unit


no.,final energy (eV per atom)
1,-4.741
2,-5.157
3,-1.694
4,-3.712
5,-4.406
6,-1.606
7,-2.124
8,-6.117